1) Here is a relaxed structure of La2Mg2Mo from Alexandria via LeMat-Bulk. Energies are from GGA-PBE.

Output
The magnetic moment is 0.001 μB per formula unit.

Cell: 8.9224 8.9224 3.3226 Å, 90.00 90.00 90.00°
Space group P4/mbm (No. 127)
Unique sites:
La1 0.1846 0.3154 0.0000 [4 per cell]
Mg1 0.1147 0.6147 0.5000 [4 per cell]
Mo1 0.0000 0.0000 0.5000 [2 per cell]

2) Here is a relaxed structure of La2Mg2Mo from Alexandria via LeMat-Bulk. Energies are from GGA-PBE.

Output
The magnetic moment is 2.426 μB per formula unit.

Cell: 4.1373 4.1373 15.8483 Å, 90.00 90.00 90.00°
Space group I4/mmm (No. 139)
Unique sites:
La1 0.0000 0.5000 0.2500 [4 per cell]
Mg1 0.0000 0.0000 0.0834 [4 per cell]
Mo1 0.0000 0.0000 0.5000 [2 per cell]

Relative energies, meV per atom: 1) 0; 2) 229.

1) Here is a relaxed structure of LaMgMo from Alexandria via LeMat-Bulk. Energies are from GGA-PBE.

Output
The magnetic moment is 1.079 μB per formula unit.

Cell: 6.7662 6.7662 6.7662 Å, 90.00 90.00 90.00°
Space group F-43m (No. 216)
Unique sites:
La1 0.0000 0.0000 0.0000 [4 per cell]
Mg1 0.0000 0.0000 0.5000 [4 per cell]
Mo1 0.2500 0.2500 0.2500 [4 per cell]

2) Here is a relaxed structure of LaMgMo from Alexandria via LeMat-Bulk. Energies are from GGA-PBE.

Output
The magnetic moment is 0.000 μB per formula unit.

Cell: 2.9581 2.9581 15.4469 Å, 90.00 90.00 90.00°
Space group I4mm (No. 107)
Unique sites:
La1 0.0000 0.0000 0.0000 [2 per cell]
Mg1 0.0000 0.0000 0.6970 [2 per cell]
Mo1 0.0000 0.0000 0.3334 [2 per cell]

3) Here is a relaxed structure of LaMgMo from Alexandria via LeMat-Bulk. Energies are from GGA-PBE.

Output
The magnetic moment is 0.001 μB per formula unit.

Cell: 5.1753 5.1753 2.9477 Å, 90.00 90.00 120.00°
Space group P3m1 (No. 156)
Unique sites:
La1 0.0000 0.0000 0.0000 [1 per cell]
Mg1 0.3333 0.6667 0.4503 [1 per cell]
Mo1 0.6667 0.3333 0.5485 [1 per cell]

Relative energies, meV per atom: 1) 355; 2) 0; 3) 61.

1) Here is a relaxed structure of LaMgMo from Alexandria via LeMat-Bulk. Energies are from GGA-PBE.

Output
The magnetic moment is 2.998 μB per formula unit.

Cell: 7.1035 7.1035 7.1035 Å, 90.00 90.00 90.00°
Space group F-43m (No. 216)
Unique sites:
La1 0.0000 0.0000 0.0000 [4 per cell]
Mg1 0.2500 0.2500 0.2500 [4 per cell]
Mo1 0.2500 0.2500 0.7500 [4 per cell]

2) Here is a relaxed structure of LaMgMo from Alexandria via LeMat-Bulk. Energies are from GGA-PBE.

Output
The magnetic moment is 0.000 μB per formula unit.

Cell: 3.1906 3.9722 11.1638 Å, 90.00 90.00 90.00°
Space group Imm2 (No. 44)
Unique sites:
La1 0.0000 0.0000 0.0000 [2 per cell]
Mg1 0.0000 0.0000 0.7104 [2 per cell]
Mo1 0.0000 0.0000 0.3286 [2 per cell]

Relative energies, meV per atom: 1) 815; 2) 0.

1) Here is a relaxed structure of LaMgMo2Os from Alexandria via LeMat-Bulk. Energies are from GGA-PBE.

Output
The magnetic moment is 1.610 μB per formula unit.

Cell: 4.8621 4.8621 4.9506 Å, 90.00 90.00 90.00°
Space group P4/mmm (No. 123)
Unique sites:
La1 0.0000 0.0000 0.0000 [1 per cell]
Mg1 0.5000 0.5000 0.0000 [1 per cell]
Mo1 0.0000 0.5000 0.5000 [2 per cell]
Os1 0.5000 0.5000 0.5000 [1 per cell]

2) Here is a relaxed structure of LaMgMo2Os from Alexandria via LeMat-Bulk. Energies are from GGA-PBE.

Output
The magnetic moment is 4.748 μB per formula unit.

Cell: 4.8113 4.8113 4.7193 Å, 90.00 90.00 90.00°
Space group P4/mmm (No. 123)
Unique sites:
La1 0.0000 0.0000 0.0000 [1 per cell]
Mg1 0.5000 0.5000 0.5000 [1 per cell]
Mo1 0.0000 0.5000 0.5000 [2 per cell]
Os1 0.5000 0.5000 0.0000 [1 per cell]

Relative energies, meV per atom: 1) 0; 2) 844.

1) Here is a relaxed structure of La3MgN from Alexandria via LeMat-Bulk. Energies are from GGA-PBE.

Output
The magnetic moment is 0.742 μB per formula unit.

Cell: 10.1491 10.1491 10.3256 Å, 90.00 90.00 120.00°
Space group R-3c (No. 167, hexagonal axes)
Unique sites:
La1 0.0000 0.2232 0.2500 [18 per cell]
Mg1 0.0000 0.0000 0.0000 [6 per cell]
N1 0.0000 0.0000 0.2500 [6 per cell]

2) Here is a relaxed structure of La3MgN from Alexandria via LeMat-Bulk. Energies are from GGA-PBE.

Output
The magnetic moment is 0.002 μB per formula unit.

Cell: 14.6928 11.9542 6.6847 Å, 90.00 112.14 90.00°
Space group C2/c (No. 15)
Unique sites:
La1 0.1126 0.0580 0.1967 [8 per cell]
La2 0.1136 0.4551 0.9850 [8 per cell]
La3 0.2031 0.2345 0.6910 [8 per cell]
Mg1 0.0000 0.2092 0.7500 [4 per cell]
Mg2 0.0000 0.2860 0.2500 [4 per cell]
N1 0.0592 0.1173 0.5125 [8 per cell]

Relative energies, meV per atom: 1) 74; 2) 0.

1) Here is a relaxed structure of La3MgN from Alexandria via LeMat-Bulk. Energies are from GGA-PBE.

Output
The magnetic moment is 0.000 μB per formula unit.

Cell: 4.2070 4.2070 20.2637 Å, 90.00 90.00 120.00°
Space group P6_3/mmc (No. 194)
Unique sites:
La1 0.0000 0.0000 0.2500 [2 per cell]
La2 0.3333 0.6667 0.1239 [4 per cell]
Mg1 0.0000 0.0000 0.0000 [2 per cell]
N1 0.3333 0.6667 0.2500 [2 per cell]

2) Here is a relaxed structure of La3MgN from Alexandria via LeMat-Bulk. Energies are from GGA-PBE.

Output
The magnetic moment is 0.000 μB per formula unit.

Cell: 6.4634 6.4634 25.1113 Å, 90.00 90.00 120.00°
Space group R-3 (No. 148, hexagonal axes)
Unique sites:
La1 0.0023 0.3571 0.4423 [18 per cell]
Mg1 0.0000 0.0000 0.3358 [6 per cell]
N1 0.0000 0.0000 0.1648 [6 per cell]

Relative energies, meV per atom: 1) 33; 2) 0.

1) Here is a relaxed structure of La3MgN from Alexandria via LeMat-Bulk. Energies are from GGA-PBE.

Output
The magnetic moment is 0.000 μB per formula unit.

Cell: 6.6430 6.6840 7.1168 Å, 83.25 63.46 83.65°
Space group P1 (No. 1)
Unique sites:
La1 0.0000 0.0000 0.0000 [1 per cell]
La2 0.0518 0.4970 0.7978 [1 per cell]
La3 0.1061 0.0920 0.4495 [1 per cell]
La4 0.4724 0.2820 0.9133 [1 per cell]
La5 0.5464 0.8374 0.6092 [1 per cell]
La6 0.6225 0.3410 0.3667 [1 per cell]
Mg1 0.0723 0.5684 0.2789 [1 per cell]
Mg2 0.5122 0.7712 0.1095 [1 per cell]
N1 0.0527 0.2908 0.1484 [1 per cell]
N2 0.3090 0.1578 0.6771 [1 per cell]

2) Here is a relaxed structure of La3MgN from Alexandria via LeMat-Bulk. Energies are from GGA-PBE.

Output
The magnetic moment is 0.000 μB per formula unit.

Cell: 6.4154 6.5327 7.2730 Å, 85.03 67.39 80.92°
Space group P1 (No. 1)
Unique sites:
La1 0.0000 0.0000 0.0000 [1 per cell]
La2 0.0069 0.4838 0.2082 [1 per cell]
La3 0.4388 0.6629 0.6021 [1 per cell]
La4 0.4650 0.1907 0.3757 [1 per cell]
La5 0.5170 0.7084 0.1022 [1 per cell]
La6 0.9546 0.9033 0.4910 [1 per cell]
Mg1 0.5180 0.2071 0.8615 [1 per cell]
Mg2 0.9739 0.4324 0.6966 [1 per cell]
N1 0.2207 0.5598 0.4154 [1 per cell]
N2 0.7262 0.8259 0.2953 [1 per cell]

Relative energies, meV per atom: 1) 11; 2) 0.

1) Here is a relaxed structure of La2MgNiN from Alexandria via LeMat-Bulk. Energies are from GGA-PBE.

Output
The magnetic moment is 0.000 μB per formula unit.

Cell: 5.0926 5.0926 4.1440 Å, 90.00 90.00 90.00°
Space group P4/mmm (No. 123)
Unique sites:
La1 0.0000 0.5000 0.0000 [2 per cell]
Mg1 0.0000 0.0000 0.5000 [1 per cell]
Ni1 0.5000 0.5000 0.5000 [1 per cell]
N1 0.0000 0.0000 0.0000 [1 per cell]

2) Here is a relaxed structure of La2MgNiN from Alexandria via LeMat-Bulk. Energies are from GGA-PBE.

Output
The magnetic moment is 0.003 μB per formula unit.

Cell: 5.3024 5.3024 3.7961 Å, 90.00 90.00 90.00°
Space group P4/mmm (No. 123)
Unique sites:
La1 0.0000 0.5000 0.0000 [2 per cell]
Mg1 0.0000 0.0000 0.5000 [1 per cell]
Ni1 0.5000 0.5000 0.5000 [1 per cell]
N1 0.5000 0.5000 0.0000 [1 per cell]

Relative energies, meV per atom: 1) 0; 2) 44.

1) Here is a relaxed structure of LaMgS2N from Alexandria via LeMat-Bulk. Energies are from GGA-PBE.

Output
The magnetic moment is 1.192 μB per formula unit.

Cell: 5.5423 5.5423 4.2956 Å, 90.00 90.00 90.00°
Space group P4/mmm (No. 123)
Unique sites:
La1 0.0000 0.0000 0.0000 [1 per cell]
Mg1 0.5000 0.5000 0.5000 [1 per cell]
S1 0.0000 0.5000 0.0000 [2 per cell]
N1 0.0000 0.0000 0.5000 [1 per cell]

2) Here is a relaxed structure of LaMgS2N from Alexandria via LeMat-Bulk. Energies are from GGA-PBE.

Output
The magnetic moment is 2.006 μB per formula unit.

Cell: 4.9072 4.9072 4.0565 Å, 90.00 90.00 90.00°
Space group P4/mmm (No. 123)
Unique sites:
La1 0.0000 0.0000 0.0000 [1 per cell]
Mg1 0.5000 0.5000 0.5000 [1 per cell]
S1 0.0000 0.5000 0.5000 [2 per cell]
N1 0.5000 0.5000 0.0000 [1 per cell]

Relative energies, meV per atom: 1) 682; 2) 0.

1) Here is a relaxed structure of La2MgTcN from Alexandria via LeMat-Bulk. Energies are from GGA-PBE.

Output
The magnetic moment is 0.000 μB per formula unit.

Cell: 5.3208 5.3208 3.9430 Å, 90.00 90.00 90.00°
Space group P4/mmm (No. 123)
Unique sites:
La1 0.0000 0.5000 0.0000 [2 per cell]
Mg1 0.0000 0.0000 0.5000 [1 per cell]
Tc1 0.5000 0.5000 0.5000 [1 per cell]
N1 0.5000 0.5000 0.0000 [1 per cell]

2) Here is a relaxed structure of La2MgTcN from Alexandria via LeMat-Bulk. Energies are from GGA-PBE.

Output
The magnetic moment is 0.532 μB per formula unit.

Cell: 5.7322 5.7322 3.6433 Å, 90.00 90.00 90.00°
Space group P4/mmm (No. 123)
Unique sites:
La1 0.0000 0.5000 0.0000 [2 per cell]
Mg1 0.0000 0.0000 0.0000 [1 per cell]
Tc1 0.5000 0.5000 0.5000 [1 per cell]
N1 0.0000 0.0000 0.5000 [1 per cell]

Relative energies, meV per atom: 1) 0; 2) 1397.

1) Here is a relaxed structure of NaLaMg2 from Alexandria via LeMat-Bulk. Energies are from GGA-PBE.

Output
The magnetic moment is 0.000 μB per formula unit.

Cell: 7.7873 7.7873 7.7873 Å, 90.00 90.00 90.00°
Space group Fm-3m (No. 225)
Unique sites:
Na1 0.0000 0.0000 0.0000 [4 per cell]
La1 0.0000 0.0000 0.5000 [4 per cell]
Mg1 0.2500 0.2500 0.2500 [8 per cell]

2) Here is a relaxed structure of NaLaMg2 from Alexandria via LeMat-Bulk. Energies are from GGA-PBE.

Output
The magnetic moment is 0.000 μB per formula unit.

Cell: 4.7143 4.7143 22.8505 Å, 90.00 90.00 90.00°
Space group I-42d (No. 122)
Unique sites:
Na1 0.0000 0.0000 0.0000 [4 per cell]
La1 0.0000 0.0000 0.5000 [4 per cell]
Mg1 0.2131 0.2500 0.1250 [8 per cell]

Relative energies, meV per atom: 1) 0; 2) 309.

1) Here is a relaxed structure of Na2LaMg2 from Alexandria via LeMat-Bulk. Energies are from GGA-PBE.

Output
The magnetic moment is 0.000 μB per formula unit.

Cell: 4.4844 4.4844 15.8086 Å, 90.00 90.00 90.00°
Space group I4/mmm (No. 139)
Unique sites:
Na1 0.0000 0.5000 0.2500 [4 per cell]
La1 0.0000 0.0000 0.0000 [2 per cell]
Mg1 0.0000 0.0000 0.4054 [4 per cell]

2) Here is a relaxed structure of Na2LaMg2 from Alexandria via LeMat-Bulk. Energies are from GGA-PBE.

Output
The magnetic moment is 0.462 μB per formula unit.

Cell: 9.4969 9.4969 3.3903 Å, 90.00 90.00 90.00°
Space group P4/mbm (No. 127)
Unique sites:
Na1 0.1719 0.3281 0.0000 [4 per cell]
La1 0.0000 0.0000 0.5000 [2 per cell]
Mg1 0.1239 0.6239 0.5000 [4 per cell]

3) Here is a relaxed structure of Na2LaMg2 from Alexandria via LeMat-Bulk. Energies are from GGA-PBE.

Output
The magnetic moment is 0.388 μB per formula unit.

Cell: 9.3480 9.3480 3.4111 Å, 90.00 90.00 90.00°
Space group P4/mbm (No. 127)
Unique sites:
Na1 0.1167 0.3833 0.0000 [4 per cell]
La1 0.0000 0.0000 0.0000 [2 per cell]
Mg1 0.1854 0.6854 0.5000 [4 per cell]

Relative energies, meV per atom: 1) 6; 2) 72; 3) 0.